a) A geometry-optimized Nd8IrPt2 structure, computed with PBE-GGA.

Calculated values
The calculation puts the density at 9.12 g/cm³. The symmetry is No. 12. The total moment comes out at 0.000 μB per atom.

POSCAR file:
```
Nd8IrPt2
1.0
5.113 0.000 0.000
0.000 6.951 0.638
-2.556 -2.218 8.688
Pt Nd Ir
2 8 1
direct
0.799 0.259 0.599 Pt
0.201 0.741 0.401 Pt
0.413 0.567 0.826 Nd
0.664 0.964 0.327 Nd
0.336 0.036 0.673 Nd
0.034 0.782 0.069 Nd
0.966 0.218 0.931 Nd
0.204 0.332 0.407 Nd
0.587 0.433 0.174 Nd
0.796 0.668 0.593 Nd
0.500 0.000 0.000 Ir
```

b) A geometry-optimized Nd8IrPt2 structure, computed with PBE-GGA.

Calculated values
The calculation puts the density at 8.61 g/cm³. The symmetry is No. 8. The total moment comes out at 0.000 μB per atom.

POSCAR file:
```
Nd8IrPt2
1.0
0.491 -5.993 -2.411
2.053 -1.097 7.374
-7.578 1.367 -0.713
Nd Pt Ir
8 2 1
direct
0.980 0.801 0.196 Nd
0.595 0.349 0.085 Nd
0.797 0.650 0.650 Nd
0.980 0.196 0.801 Nd
0.353 0.920 0.655 Nd
0.353 0.655 0.920 Nd
0.177 0.356 0.356 Nd
0.595 0.085 0.349 Nd
0.488 0.689 0.323 Pt
0.488 0.323 0.689 Pt
0.194 0.009 0.009 Ir
```

Tell me which of them is the most stable. Sure, it is a).